Entry 1:
A geometry-optimized NpTa2Ru structure, computed with PBE-GGA.

Structure (POSCAR):
```
NpTa2Ru
1.0
4.808 0.000 0.000
0.000 4.808 0.000
0.000 0.000 3.053
Np Ta Ru
1 2 1
Direct
0.000 0.000 0.000
0.000 0.500 0.500
0.500 0.000 0.500
0.500 0.500 0.000
```

## Properties
Energy relative to the lowest polymorph listed for this composition ... 0.085 eV/atom
DOS at the Fermi energy ... 1.50 states/eV/atom



Entry 2:
A geometry-optimized NpTaRu5 structure, computed with PBE-GGA.

Structure (POSCAR):
```
NpTaRu5
1.0
3.897 0.000 0.000
0.000 3.897 0.000
0.000 0.000 7.522
Np Ta Ru
1 1 5
Direct
0.000 0.000 0.000
0.500 0.500 0.500
0.000 0.000 0.500
0.000 0.500 0.238
0.000 0.500 0.762
0.500 0.000 0.238
0.500 0.000 0.762
```

## Properties
DOS at the Fermi energy ... 1.11 states/eV/atom



Entry 3:
A geometry-optimized NpTa2Ru structure, computed with PBE-GGA.

Structure (POSCAR):
```
NpTa2Ru
1.0
0.000 3.287 3.287
3.287 0.000 3.287
3.287 3.287 0.000
Np Ta Ru
1 2 1
Direct
0.000 0.000 0.000
0.250 0.250 0.250
0.750 0.750 0.750
0.500 0.500 0.500
```

## Properties
Energy relative to the lowest polymorph listed for this composition ... 0.220 eV/atom
DOS at the Fermi energy ... 3.03 states/eV/atom



Entry 4:
A geometry-optimized NpTa2Ru structure, computed with PBE-GGA.

Structure (POSCAR):
```
NpTa2Ru
1.0
3.059 0.000 0.000
0.000 3.059 0.000
0.000 0.000 7.832
Np Ta Ru
1 2 1
Direct
0.000 0.000 0.000
0.500 0.500 0.286
0.500 0.500 0.714
0.000 0.000 0.500
```

## Properties
Energy relative to the lowest polymorph listed for this composition ... 0.000 eV/atom
DOS at the Fermi energy ... 1.61 states/eV/atom



Entry 5:
A geometry-optimized NpTaTiRu structure, computed with PBE-GGA.

Structure (POSCAR):
```
NpTaTiRu
1.0
0.000 3.252 3.252
3.252 0.000 3.252
3.252 3.252 0.000
Np Ta Ti Ru
1 1 1 1
Direct
0.000 0.000 0.000
0.250 0.250 0.250
0.750 0.750 0.750
0.500 0.500 0.500
```

## Properties
DOS at the Fermi energy ... 2.58 states/eV/atom



Entry 6:
A geometry-optimized Tb3Np2Ru4 structure, computed with PBE-GGA.

Structure (POSCAR):
```
Tb3Np2Ru4
1.0
5.413 -2.109 0.000
5.413 2.109 0.000
-1.589 0.000 8.700
Tb Np Ru
3 2 4
Direct
0.000 0.000 0.000
0.375 0.375 0.613
0.625 0.625 0.387
0.328 0.328 0.219
0.672 0.672 0.781
0.089 0.089 0.635
0.281 0.281 0.906
0.719 0.719 0.094
0.911 0.911 0.365
```

## Properties
DOS at the Fermi energy ... 1.51 states/eV/atom



Entry 7:
A geometry-optimized Tb3NpRu4 structure, computed with PBE-GGA.

Structure (POSCAR):
```
Tb3NpRu4
1.0
-3.398 3.398 3.398
3.398 -3.398 3.398
3.398 3.398 -3.398
Tb Np Ru
3 1 4
Direct
0.000 0.500 0.500
0.500 0.000 0.500
0.500 0.500 0.000
0.000 0.000 0.000
0.000 0.000 0.500
0.000 0.500 0.000
0.500 0.000 0.000
0.500 0.500 0.500
```

## Properties
DOS at the Fermi energy ... 1.49 states/eV/atom



Entry 8:
A geometry-optimized Tb5NpRu4 structure, computed with PBE-GGA.

Structure (POSCAR):
```
Tb5NpRu4
1.0
7.932 -2.244 0.000
7.932 2.244 0.000
-1.748 0.000 6.670
Tb Np Ru
5 1 4
Direct
0.000 0.000 0.000
0.329 0.329 0.456
0.331 0.331 0.956
0.669 0.669 0.044
0.671 0.671 0.544
0.000 0.000 0.500
0.143 0.143 0.770
0.496 0.496 0.282
0.504 0.504 0.718
0.857 0.857 0.230
```

## Properties
DOS at the Fermi energy ... 1.18 states/eV/atom



Entry 9:
A geometry-optimized NpTc2Ru structure, computed with PBE-GGA.

Structure (POSCAR):
```
NpTc2Ru
1.0
3.991 0.000 0.000
0.000 3.991 0.000
0.000 0.000 4.011
Np Tc Ru
1 2 1
Direct
0.000 0.000 0.000
0.000 0.500 0.500
0.500 0.000 0.500
0.500 0.500 0.000
```

## Properties
Energy relative to the lowest polymorph listed for this composition ... 0.000 eV/atom
DOS at the Fermi energy ... 1.45 states/eV/atom



Entry 10:
A geometry-optimized NpTcRu structure, computed with PBE-GGA.

Structure (POSCAR):
```
NpTcRu
1.0
-1.407 1.407 6.388
1.407 -1.407 6.388
1.407 1.407 -6.388
Np Tc Ru
1 1 1
Direct
0.000 0.000 0.000
0.687 0.687 0.000
0.318 0.318 0.000
```

## Properties
DOS at the Fermi energy ... 1.66 states/eV/atom



Entry 11:
A geometry-optimized Np2TcRu structure, computed with PBE-GGA.

Structure (POSCAR):
```
Np2TcRu
1.0
1.473 0.850 9.541
-1.473 0.850 9.541
0.000 -1.700 9.541
Np Tc Ru
2 1 1
Direct
0.087 0.087 0.087
0.913 0.913 0.913
0.500 0.500 0.500
0.000 0.000 0.000
```

## Properties
Energy relative to the lowest polymorph listed for this composition ... 0.311 eV/atom
DOS at the Fermi energy ... 1.88 states/eV/atom



Entry 12:
A geometry-optimized Np2TcRu structure, computed with PBE-GGA.

Structure (POSCAR):
```
Np2TcRu
1.0
0.000 3.362 3.362
3.362 0.000 3.362
3.362 3.362 0.000
Np Tc Ru
2 1 1
Direct
0.250 0.250 0.250
0.750 0.750 0.750
0.000 0.000 0.000
0.500 0.500 0.500
```

## Properties
Energy relative to the lowest polymorph listed for this composition ... 0.007 eV/atom
DOS at the Fermi energy ... 2.07 states/eV/atom



Entry 13:
A geometry-optimized NpTc2Ru structure, computed with PBE-GGA.

Structure (POSCAR):
```
NpTc2Ru
1.0
1.394 0.805 9.579
-1.394 0.805 9.579
0.000 -1.609 9.579
Np Tc Ru
1 2 1
Direct
0.000 0.000 0.000
0.092 0.092 0.092
0.908 0.908 0.908
0.500 0.500 0.500
```

## Properties
Energy relative to the lowest polymorph listed for this composition ... 0.401 eV/atom
DOS at the Fermi energy ... 1.74 states/eV/atom



Entry 14:
A geometry-optimized Np4TcRu structure, computed with PBE-GGA.

Structure (POSCAR):
```
Np4TcRu
1.0
2.246 -7.102 0.000
2.246 7.102 0.000
0.000 0.000 6.657
Np Tc Ru
8 2 2
Direct
0.035 0.965 0.500
0.183 0.817 0.290
0.293 0.707 0.607
0.465 0.535 0.634
0.535 0.465 0.134
0.707 0.293 0.107
0.817 0.183 0.790
0.965 0.035 0.000
0.122 0.878 0.853
0.878 0.122 0.353
0.340 0.660 0.045
0.660 0.340 0.545
```

## Properties
DOS at the Fermi energy ... 2.28 states/eV/atom



Entry 15:
A geometry-optimized Np2TcRu structure, computed with PBE-GGA.

Structure (POSCAR):
```
Np2TcRu
1.0
3.401 0.000 0.000
0.000 3.401 0.000
0.000 0.000 6.557
Np Tc Ru
2 1 1
Direct
0.000 0.000 0.246
0.000 0.000 0.754
0.500 0.500 0.500
0.500 0.500 0.000
```

## Properties
Energy relative to the lowest polymorph listed for this composition ... 0.000 eV/atom
DOS at the Fermi energy ... 2.17 states/eV/atom



Entry 16:
A geometry-optimized NpTiTcRu structure, computed with PBE-GGA.

Structure (POSCAR):
```
NpTiTcRu
1.0
0.000 3.231 3.231
3.231 0.000 3.231
3.231 3.231 0.000
Np Ti Tc Ru
1 1 1 1
Direct
0.000 0.000 0.000
0.500 0.500 0.500
0.250 0.250 0.250
0.750 0.750 0.750
```

## Properties
DOS at the Fermi energy ... 1.03 states/eV/atom



Entry 17:
A geometry-optimized TmNpTcRu structure, computed with PBE-GGA.

Structure (POSCAR):
```
TmNpTcRu
1.0
0.000 3.360 3.360
3.360 0.000 3.360
3.360 3.360 0.000
Tm Np Tc Ru
1 1 1 1
Direct
0.000 0.000 0.000
0.500 0.500 0.500
0.250 0.250 0.250
0.750 0.750 0.750
```

## Properties
DOS at the Fermi energy ... 1.52 states/eV/atom



Entry 18:
A geometry-optimized YNpTcRu structure, computed with PBE-GGA.

Structure (POSCAR):
```
YNpTcRu
1.0
0.000 3.385 3.385
3.385 0.000 3.385
3.385 3.385 0.000
Y Np Tc Ru
1 1 1 1
Direct
0.000 0.000 0.000
0.500 0.500 0.500
0.250 0.250 0.250
0.750 0.750 0.750
```

## Properties
DOS at the Fermi energy ... 1.51 states/eV/atom



Entry 19:
A geometry-optimized NpZnTcRu structure, computed with PBE-GGA.

Structure (POSCAR):
```
NpZnTcRu
1.0
0.000 3.202 3.202
3.202 0.000 3.202
3.202 3.202 0.000
Np Zn Tc Ru
1 1 1 1
Direct
0.000 0.000 0.000
0.500 0.500 0.500
0.250 0.250 0.250
0.750 0.750 0.750
```

## Properties
DOS at the Fermi energy ... 1.94 states/eV/atom



Entry 20:
A geometry-optimized ZrNpTcRu structure, computed with PBE-GGA.

Structure (POSCAR):
```
ZrNpTcRu
1.0
0.000 3.324 3.324
3.324 0.000 3.324
3.324 3.324 0.000
Zr Np Tc Ru
1 1 1 1
Direct
0.000 0.000 0.000
0.500 0.500 0.500
0.750 0.750 0.750
0.250 0.250 0.250
```

## Properties
DOS at the Fermi energy ... 1.17 states/eV/atom



Entry 21:
A geometry-optimized NpTe2Ru structure, computed with PBE-GGA.

Structure (POSCAR):
```
NpTe2Ru
1.0
2.621 1.513 3.863
-2.621 1.513 3.863
0.000 -3.026 3.863
Np Te Ru
1 2 1
Direct
0.000 0.000 0.000
0.262 0.262 0.262
0.738 0.738 0.738
0.500 0.500 0.500
```

## Properties
E_form (uncorrected) ... 0.036 eV/atom
DOS at the Fermi energy ... 3.48 states/eV/atom



Entry 22:
A geometry-optimized Th2NpURu6 structure, computed with PBE-GGA.

Structure (POSCAR):
```
Th2NpURu6
1.0
3.189 1.841 11.920
-3.189 1.841 11.920
0.000 -3.683 11.920
Th Np U Ru
4 2 2 12
Direct
0.131 0.131 0.131
0.307 0.307 0.307
0.693 0.693 0.693
0.869 0.869 0.869
0.000 0.000 0.000
0.500 0.500 0.500
0.430 0.430 0.430
0.570 0.570 0.570
0.043 0.650 0.650
0.208 0.208 0.729
0.208 0.729 0.208
0.271 0.792 0.792
0.350 0.350 0.957
0.350 0.957 0.350
0.650 0.043 0.650
0.650 0.650 0.043
0.729 0.208 0.208
0.792 0.271 0.792
0.792 0.792 0.271
0.957 0.350 0.350
```

## Properties
DOS at the Fermi energy ... 1.22 states/eV/atom



Entry 23:
A geometry-optimized NpTlRu2 structure, computed with PBE-GGA.

Structure (POSCAR):
```
NpTlRu2
1.0
4.504 0.000 0.000
0.000 4.504 0.000
0.000 0.000 3.600
Np Tl Ru
1 1 2
Direct
0.000 0.000 0.000
0.500 0.500 0.000
0.000 0.500 0.500
0.500 0.000 0.500
```

## Properties
DOS at the Fermi energy ... 1.93 states/eV/atom



Entry 24:
A geometry-optimized Tm5NpRu6 structure, computed with PBE-GGA.

Structure (POSCAR):
```
Tm5NpRu6
1.0
-2.389 3.370 7.041
2.389 -3.370 7.041
2.389 3.370 -7.041
Tm Np Ru
5 1 6
Direct
0.000 0.000 0.000
0.164 0.664 0.500
0.326 0.326 0.000
0.674 0.674 0.000
0.836 0.336 0.500
0.500 0.000 0.500
0.109 0.843 0.266
0.270 0.500 0.770
0.422 0.157 0.266
0.578 0.843 0.734
0.730 0.500 0.230
0.891 0.157 0.734
```

## Properties
DOS at the Fermi energy ... 0.75 states/eV/atom



Entry 25:
A geometry-optimized Tm2NpRu3 structure, computed with PBE-GGA.

Structure (POSCAR):
```
Tm2NpRu3
1.0
2.423 -7.049 0.000
2.423 7.049 0.000
0.000 0.000 3.340
Tm Np Ru
2 1 3
Direct
0.170 0.830 0.000
0.830 0.170 0.000
0.500 0.500 0.000
0.000 0.000 0.500
0.348 0.652 0.500
0.652 0.348 0.500
```

## Properties
DOS at the Fermi energy ... 1.32 states/eV/atom



Entry 26:
A geometry-optimized TmNpRu2 structure, computed with PBE-GGA.

Structure (POSCAR):
```
TmNpRu2
1.0
3.346 0.000 0.000
0.000 3.346 0.000
0.000 0.000 6.812
Tm Np Ru
1 1 2
Direct
0.000 0.000 0.000
0.000 0.000 0.500
0.500 0.500 0.268
0.500 0.500 0.732
```

## Properties
DOS at the Fermi energy ... 1.15 states/eV/atom



Entry 27:
A geometry-optimized Tm3NpRu4 structure, computed with PBE-GGA.

Structure (POSCAR):
```
Tm3NpRu4
1.0
3.357 0.000 0.000
0.000 4.818 0.000
0.000 0.000 9.387
Tm Np Ru
3 1 4
Direct
0.000 0.000 0.000
0.000 0.500 0.244
0.000 0.500 0.756
0.000 0.000 0.500
0.500 0.000 0.273
0.500 0.000 0.727
0.500 0.500 0.000
0.500 0.500 0.500
```

## Properties
DOS at the Fermi energy ... 1.01 states/eV/atom



| no. | electronic total energy (hartree per atom) |
| --- | --- |
| 1 | -0.416 |
| 2 | -0.371 |
| 3 | -0.411 |
| 4 | -0.419 |
| 5 | -0.379 |
| 6 | -0.324 |
| 7 | -0.302 |
| 8 | -0.278 |
| 9 | -0.392 |
| 10 | -0.392 |
| 11 | -0.403 |
| 12 | -0.414 |
| 13 | -0.377 |
| 14 | -0.432 |
| 15 | -0.414 |
| 16 | -0.380 |
| 17 | -0.344 |
| 18 | -0.359 |
| 19 | -0.311 |
| 20 | -0.385 |
| 21 | -0.261 |
| 22 | -0.345 |
| 23 | -0.306 |
| 24 | -0.295 |
| 25 | -0.317 |
| 26 | -0.341 |
| 27 | -0.306 |